Record 1
{
  "formula": "LiAg2Hg",
  "functional": "PBE-GGA",
  "state": "optimized geometry",
  "cell": [[4.4599, 0.0000, 0.0000], [0.0000, 5.7320, 0.0057], [0.0000, -1.1364, 5.6288]],
  "species": ["Li", "Li", "Ag", "Ag", "Ag", "Ag", "Hg", "Hg"],
  "frac_coords": [[0.2500, 0.3392, 0.6790], [0.7500, 0.6608, 0.3210], [0.2500, 0.8542, 0.5957], [0.7500, 0.1458, 0.4043], [0.2500, 0.8778, 0.1041], [0.7500, 0.1222, 0.8959], [0.2500, 0.3926, 0.1952], [0.7500, 0.6074, 0.8048]],
  "volume_a3_per_atom": 18.0,
  "total_magnetization_mub_per_fu": 0.0,
  "dft_energy_ev_per_atom": -2.131
}

***

Record 2
{
  "formula": "Li5Ag2Hg",
  "functional": "PBE-GGA",
  "state": "optimized geometry",
  "cell": [[4.4333, 0.0000, 0.0000], [0.0000, 4.4333, 0.0000], [-2.2166, -2.2166, 6.8287]],
  "species": ["Li", "Li", "Li", "Li", "Li", "Ag", "Ag", "Hg"],
  "frac_coords": [[0.5000, 0.5000, 0.0000], [0.8681, 0.3681, 0.7361], [0.3681, 0.8681, 0.7361], [0.1319, 0.6319, 0.2639], [0.6319, 0.1319, 0.2639], [0.7498, 0.7498, 0.4997], [0.2502, 0.2502, 0.5003], [0.0000, 0.0000, 0.0000]],
  "volume_a3_per_atom": 16.8,
  "total_magnetization_mub_per_fu": 0.0,
  "dft_energy_ev_per_atom": -2.186
}

***

Record 3
{
  "formula": "Li2Ag2Hg",
  "functional": "PBE-GGA",
  "state": "optimized geometry",
  "cell": [[4.6277, 0.0000, 0.0000], [2.3138, 4.9005, 0.5465], [2.3138, 1.6536, 7.8466]],
  "species": ["Li", "Li", "Li", "Li", "Ag", "Ag", "Ag", "Ag", "Hg", "Hg"],
  "frac_coords": [[0.9459, 0.2518, 0.8564], [0.1523, 0.2519, 0.4434], [0.0541, 0.7482, 0.1436], [0.8477, 0.7481, 0.5566], [0.3497, 0.2608, 0.0398], [0.5518, 0.2452, 0.6511], [0.6503, 0.7392, 0.9602], [0.4482, 0.7548, 0.3489], [0.7576, 0.2204, 0.2643], [0.2424, 0.7796, 0.7357]],
  "polymorph_energy_mev_per_atom": 45,
  "volume_a3_per_atom": 17.4,
  "total_magnetization_mub_per_fu": 0.0
}

***

Record 4
{
  "formula": "Li15Ag2Hg2",
  "functional": "PBE-GGA",
  "state": "optimized geometry",
  "cell": [[1.0571, -7.1930, -2.0319], [7.1971, -2.0252, -1.0418], [2.8941, -4.4646, 5.3551]],
  "species": ["Li", "Li", "Li", "Li", "Li", "Li", "Li", "Li", "Li", "Li", "Li", "Li", "Li", "Li", "Li", "Ag", "Ag", "Hg", "Hg"],
  "frac_coords": [[0.0000, 0.5000, 0.0000], [0.0000, 0.0000, 0.5000], [0.5000, 0.0000, 0.0000], [0.3015, 0.0000, 0.6985], [0.6985, 0.3015, 0.0000], [0.0000, 0.6985, 0.3015], [0.3015, 0.6985, 0.0000], [0.0000, 0.3015, 0.6985], [0.6985, 0.0000, 0.3015], [0.4394, 0.8036, 0.4394], [0.4394, 0.4394, 0.8036], [0.8036, 0.4394, 0.4394], [0.5606, 0.1964, 0.5606], [0.5606, 0.5606, 0.1964], [0.1964, 0.5606, 0.5606], [0.7064, 0.7064, 0.7064], [0.2936, 0.2936, 0.2936], [0.9071, 0.9071, 0.9071], [0.0929, 0.0929, 0.0929]],
  "volume_a3_per_atom": 17.7,
  "total_magnetization_mub_per_fu": 0.0,
  "dft_energy_ev_per_atom": -1.900
}

***

Record 5
{
  "formula": "LiAg2Hg4",
  "functional": "PBE-GGA",
  "state": "optimized geometry",
  "cell": [[-0.4751, -3.2694, -4.8775], [5.5863, -0.3389, 1.8393], [-3.8665, -2.0807, 3.9275]],
  "species": ["Li", "Ag", "Ag", "Hg", "Hg", "Hg", "Hg"],
  "frac_coords": [[0.0000, 0.0000, 0.0000], [0.5000, 0.5000, 0.0000], [0.5000, 0.0000, 0.5000], [0.5000, 0.0000, 0.0000], [0.5000, 0.5000, 0.5000], [0.0000, 0.0000, 0.5000], [0.0000, 0.5000, 0.0000]],
  "volume_a3_per_atom": 22.4,
  "total_magnetization_mub_per_fu": 0.0,
  "dft_energy_ev_per_atom": -1.304
}

***

Record 6
{
  "formula": "Li12AgHg2",
  "functional": "PBE-GGA",
  "state": "optimized geometry",
  "cell": [[5.5076, 0.0000, 0.0000], [0.0000, 5.5076, 0.0000], [0.0000, 0.0000, 19.8293]],
  "species": ["Li", "Li", "Li", "Li", "Li", "Li", "Li", "Li", "Li", "Li", "Li", "Li", "Li", "Li", "Li", "Li", "Li", "Li", "Li", "Li", "Li", "Li", "Li", "Li", "Ag", "Ag", "Hg", "Hg", "Hg", "Hg"],
  "frac_coords": [[0.5000, 0.5000, 0.7869], [0.0000, 0.0000, 0.7869], [0.7500, 0.7500, 0.9068], [0.2500, 0.7500, 0.9068], [0.0000, 0.0000, 0.3398], [0.2500, 0.7500, 0.0932], [0.8206, 0.3206, 0.5624], [0.5000, 0.5000, 0.3398], [0.2500, 0.2500, 0.9068], [0.7500, 0.7500, 0.0932], [0.3206, 0.1794, 0.5624], [0.6794, 0.1794, 0.4376], [0.0000, 0.0000, 0.6602], [0.1794, 0.3206, 0.4376], [0.2500, 0.2500, 0.0932], [0.8206, 0.6794, 0.4376], [0.6794, 0.8206, 0.5624], [0.0000, 0.0000, 0.2131], [0.1794, 0.6794, 0.5624], [0.5000, 0.5000, 0.6602], [0.7500, 0.2500, 0.9068], [0.5000, 0.5000, 0.2131], [0.3206, 0.8206, 0.4376], [0.7500, 0.2500, 0.0932], [0.5000, 0.0000, 0.0000], [0.0000, 0.5000, 0.0000], [0.5000, 0.0000, 0.3021], [0.0000, 0.5000, 0.3021], [0.0000, 0.5000, 0.6979], [0.5000, 0.0000, 0.6979]],
  "volume_a3_per_atom": 20.0,
  "total_magnetization_mub_per_fu": 0.0,
  "dft_energy_ev_per_atom": -1.765
}

***

Record 7
{
  "formula": "Li3AgHg4",
  "functional": "PBE-GGA",
  "state": "optimized geometry",
  "cell": [[-3.0849, 1.2382, 3.3111], [4.7309, -1.2674, 4.8817], [2.9623, 8.8872, -0.5635]],
  "species": ["Hg", "Hg", "Hg", "Hg", "Hg", "Hg", "Hg", "Hg", "Ag", "Ag", "Li", "Li", "Li", "Li", "Li", "Li"],
  "frac_coords": [[0.5000, 0.7629, 0.0000], [0.5000, 0.7629, 0.5000], [0.5000, 0.2371, 0.0000], [0.5000, 0.2371, 0.5000], [0.9991, 0.7629, 0.7500], [0.0009, 0.7629, 0.2500], [0.0009, 0.2371, 0.2500], [0.9991, 0.2371, 0.7500], [0.0000, 0.5000, 0.0000], [0.0000, 0.5000, 0.5000], [0.0000, 0.0000, 0.0000], [0.0000, 0.0000, 0.5000], [0.4990, 0.0000, 0.7500], [0.5010, 0.0000, 0.2500], [0.4992, 0.5000, 0.7500], [0.5008, 0.5000, 0.2500]],
  "polymorph_energy_mev_per_atom": 0,
  "volume_a3_per_atom": 19.0,
  "total_magnetization_mub_per_fu": 0.0
}

***

Record 8
{
  "formula": "LiAgHg2",
  "functional": "PBE-GGA",
  "state": "optimized geometry",
  "cell": [[7.6652, 0.0000, 0.0000], [0.0000, 7.6652, 0.0000], [3.8326, 3.8326, 2.9862]],
  "species": ["Hg", "Hg", "Hg", "Hg", "Ag", "Ag", "Li", "Li"],
  "frac_coords": [[0.6107, 0.1250, 0.2500], [0.1393, 0.6250, 0.2500], [0.3750, 0.3893, 0.7500], [0.8750, 0.8607, 0.7500], [0.0000, 0.0000, 0.0000], [0.7500, 0.2500, 0.5000], [0.5000, 0.5000, 0.0000], [0.2500, 0.7500, 0.5000]],
  "volume_a3_per_atom": 21.9,
  "total_magnetization_mub_per_fu": 0.0,
  "dft_energy_ev_per_atom": -1.364
}

***

Record 9
{
  "formula": "Li3AgHg4",
  "functional": "PBE-GGA",
  "state": "optimized geometry",
  "cell": [[4.0255, 0.0000, 0.0000], [0.0000, 3.5286, -0.2639], [-2.0128, -1.0201, 11.7556]],
  "species": ["Li", "Li", "Li", "Ag", "Hg", "Hg", "Hg", "Hg"],
  "frac_coords": [[0.0000, 0.5000, 0.0000], [0.2131, 0.2111, 0.4262], [0.7869, 0.7889, 0.5738], [0.5000, 0.0000, 0.0000], [0.6682, 0.6649, 0.3364], [0.3318, 0.3351, 0.6636], [0.9067, 0.9039, 0.8133], [0.0933, 0.0961, 0.1867]],
  "polymorph_energy_mev_per_atom": 109,
  "volume_a3_per_atom": 20.7,
  "total_magnetization_mub_per_fu": 0.0
}

***

Record 10
{
  "formula": "Li8Ag5Hg",
  "functional": "PBE-GGA",
  "state": "optimized geometry",
  "cell": [[6.8437, -0.0558, 0.0959], [-2.3681, 6.4212, -0.0959], [-2.1075, -3.2743, 5.6290]],
  "species": ["Li", "Li", "Li", "Li", "Li", "Li", "Li", "Li", "Ag", "Ag", "Ag", "Ag", "Ag", "Hg"],
  "frac_coords": [[0.1398, 0.7245, 0.0627], [0.9373, 0.0771, 0.6618], [0.7482, 0.2676, 0.3548], [0.6452, 0.3934, 0.9129], [0.5195, 0.6066, 0.2518], [0.5847, 0.9229, 0.8602], [0.3382, 0.2755, 0.4153], [0.0871, 0.7324, 0.4805], [0.0308, 0.3244, 0.1197], [0.8803, 0.9111, 0.2047], [0.7953, 0.6756, 0.7063], [0.5000, 0.0000, 0.5000], [0.2937, 0.0889, 0.9692], [0.2500, 0.5000, 0.7500]],
  "volume_a3_per_atom": 17.6,
  "total_magnetization_mub_per_fu": 0.0,
  "dft_energy_ev_per_atom": -2.268
}

***

Record 11
{
  "formula": "LiAgHg2",
  "functional": "PBE-GGA",
  "state": "optimized geometry",
  "cell": [[-8.1251, 1.4340, -4.7756], [-8.3446, -1.6781, -4.2933], [-9.3019, 0.3368, -2.0594]],
  "species": ["Hg", "Hg", "Ag", "Li"],
  "frac_coords": [[0.9952, 0.9952, 0.9952], [0.5048, 0.5048, 0.5048], [0.7500, 0.7500, 0.7500], [0.2500, 0.2500, 0.2500]],
  "volume_a3_per_atom": 20.2,
  "total_magnetization_mub_per_fu": 0.0,
  "dft_energy_ev_per_atom": -1.467
}

***

Record 12
{
  "formula": "LiAg2Hg2",
  "functional": "PBE-GGA",
  "state": "optimized geometry",
  "cell": [[3.9205, 0.0000, 0.0000], [0.0000, 3.9205, 0.0000], [1.9602, 1.9602, 7.1745]],
  "species": ["Hg", "Hg", "Ag", "Ag", "Li"],
  "frac_coords": [[0.4019, 0.4019, 0.1963], [0.5981, 0.5981, 0.8037], [0.7500, 0.2500, 0.5000], [0.2500, 0.7500, 0.5000], [0.0000, 0.0000, 0.0000]],
  "polymorph_energy_mev_per_atom": 95,
  "volume_a3_per_atom": 22.1,
  "total_magnetization_mub_per_fu": 0.0
}

***

Record 13
{
  "formula": "LiAg3Hg",
  "functional": "PBE-GGA",
  "state": "optimized geometry",
  "cell": [[0.4603, -3.9433, 2.8292], [2.8297, -2.6987, -4.2219], [6.0184, 0.3750, 3.7941]],
  "species": ["Li", "Li", "Ag", "Ag", "Ag", "Ag", "Ag", "Ag", "Hg", "Hg"],
  "frac_coords": [[0.3904, 0.7500, 0.7225], [0.6096, 0.2500, 0.2775], [0.1904, 0.0021, 0.1209], [0.8096, 0.9979, 0.8791], [0.1904, 0.4979, 0.1209], [0.8096, 0.5021, 0.8791], [0.0012, 0.7500, 0.5038], [0.9988, 0.2500, 0.4962], [0.6165, 0.7500, 0.2733], [0.3835, 0.2500, 0.7267]],
  "polymorph_energy_mev_per_atom": 0,
  "volume_a3_per_atom": 18.8,
  "total_magnetization_mub_per_fu": 0.0
}

***

Record 14
{
  "formula": "Li2Ag3Hg2",
  "functional": "PBE-GGA",
  "state": "optimized geometry",
  "cell": [[-0.2840, -4.0863, -0.1828], [1.6890, 1.7369, 4.5339], [-6.5986, 0.4036, 1.2284]],
  "species": ["Li", "Li", "Ag", "Ag", "Ag", "Hg", "Hg"],
  "frac_coords": [[0.5782, 0.1565, 0.7285], [0.4218, 0.8435, 0.2715], [0.2866, 0.5733, 0.8655], [0.0000, 0.0000, 0.0000], [0.7134, 0.4267, 0.1345], [0.1363, 0.2727, 0.4214], [0.8637, 0.7273, 0.5786]],
  "polymorph_energy_mev_per_atom": 0,
  "volume_a3_per_atom": 18.3,
  "total_magnetization_mub_per_fu": 0.0
}

***

Record 15
{
  "formula": "Li4AgHg",
  "functional": "PBE-GGA",
  "state": "optimized geometry",
  "cell": [[-1.6109, 3.7957, 1.5072], [-0.6073, -1.8319, 3.9671], [6.0686, 1.8656, 1.7937]],
  "species": ["Li", "Li", "Li", "Li", "Ag", "Hg"],
  "frac_coords": [[0.5013, 0.9975, 0.2592], [0.5015, 0.9976, 0.7368], [0.0011, 0.4973, 0.7354], [0.0012, 0.4969, 0.2610], [0.0014, 0.9972, 0.4983], [0.5013, 0.4971, 0.9982]],
  "polymorph_energy_mev_per_atom": 89,
  "volume_a3_per_atom": 21.3,
  "total_magnetization_mub_per_fu": 0.0
}

***

Record 16
{
  "formula": "Li4Ag2Hg3",
  "functional": "PBE-GGA",
  "state": "optimized geometry",
  "cell": [[-3.0716, -2.7815, -2.0290], [1.3872, -3.9210, -1.9975], [-1.1360, -4.2384, 7.4748]],
  "species": ["Li", "Li", "Li", "Li", "Ag", "Ag", "Hg", "Hg", "Hg"],
  "frac_coords": [[0.6667, 0.6667, 0.1017], [0.0004, 0.0004, 0.6764], [0.9996, 0.9996, 0.3236], [0.3333, 0.3333, 0.8983], [0.3332, 0.3332, 0.2195], [0.6668, 0.6668, 0.7805], [0.3335, 0.3335, 0.5820], [0.0000, 0.0000, 0.0000], [0.6665, 0.6665, 0.4180]],
  "polymorph_energy_mev_per_atom": 0,
  "volume_a3_per_atom": 17.7,
  "total_magnetization_mub_per_fu": 0.0
}

***

Record 17
{
  "formula": "Li4Ag2Hg5",
  "functional": "PBE-GGA",
  "state": "optimized geometry",
  "cell": [[3.1163, 0.0000, 0.0000], [0.0000, 7.2962, -1.0773], [-1.5582, -3.1777, 10.4257]],
  "species": ["Li", "Li", "Li", "Li", "Ag", "Ag", "Hg", "Hg", "Hg", "Hg", "Hg"],
  "frac_coords": [[0.6803, 0.6596, 0.3605], [0.9533, 0.6212, 0.9066], [0.3197, 0.3404, 0.6395], [0.0467, 0.3788, 0.0934], [0.2888, 0.9260, 0.5777], [0.7112, 0.0740, 0.4223], [0.0909, 0.7893, 0.1819], [0.9091, 0.2107, 0.8181], [0.1652, 0.3301, 0.3305], [0.5000, 0.0000, 0.0000], [0.8348, 0.6699, 0.6695]],
  "polymorph_energy_mev_per_atom": 12,
  "volume_a3_per_atom": 20.6,
  "total_magnetization_mub_per_fu": 0.0
}

***

Record 18
{
  "formula": "Li8AgHg6",
  "functional": "PBE-GGA",
  "state": "optimized geometry",
  "cell": [[-7.1100, -0.2734, -2.0321], [-3.7248, -6.3803, 0.4181], [-5.2895, -0.8656, 5.1509]],
  "species": ["Li", "Li", "Li", "Li", "Li", "Li", "Li", "Li", "Ag", "Hg", "Hg", "Hg", "Hg", "Hg", "Hg"],
  "frac_coords": [[0.6593, 0.1416, 0.3677], [0.8584, 0.1685, 0.6323], [0.1685, 0.3407, 0.6323], [0.5959, 0.5959, 0.2124], [0.4041, 0.4041, 0.7876], [0.8315, 0.6593, 0.3677], [0.1416, 0.8315, 0.3677], [0.3407, 0.8584, 0.6323], [0.0000, 0.0000, 0.0000], [0.4852, 0.9830, 0.8138], [0.0170, 0.2821, 0.1862], [0.2821, 0.5148, 0.1862], [0.7179, 0.4852, 0.8138], [0.9830, 0.7179, 0.8138], [0.5148, 0.0170, 0.1862]],
  "volume_a3_per_atom": 19.2,
  "total_magnetization_mub_per_fu": 0.0,
  "dft_energy_ev_per_atom": -1.571
}

***

Record 19
{
  "formula": "Li2Ag8Hg3",
  "functional": "PBE-GGA",
  "state": "optimized geometry",
  "cell": [[5.5596, 0.0000, 0.0000], [2.7798, 4.8148, 0.0000], [2.7798, 1.6049, 10.1471]],
  "species": ["Li", "Li", "Ag", "Ag", "Ag", "Ag", "Ag", "Ag", "Ag", "Ag", "Hg", "Hg", "Hg"],
  "frac_coords": [[0.6455, 0.6455, 0.0634], [0.3545, 0.3545, 0.9366], [0.7306, 0.7306, 0.8082], [0.2694, 0.2694, 0.1918], [0.2409, 0.7401, 0.2788], [0.7401, 0.2409, 0.2788], [0.7401, 0.7401, 0.2788], [0.2599, 0.7591, 0.7212], [0.7591, 0.2599, 0.7212], [0.2599, 0.2599, 0.7212], [0.0000, 0.0000, 0.0000], [0.8242, 0.8242, 0.5274], [0.1758, 0.1758, 0.4726]],
  "volume_a3_per_atom": 20.9,
  "total_magnetization_mub_per_fu": 0.0,
  "dft_energy_ev_per_atom": -2.059
}

***

Record 20
{
  "formula": "Li5AgHg6",
  "functional": "PBE-GGA",
  "state": "optimized geometry",
  "cell": [[0.4672, -2.9624, -3.5957], [6.8503, 0.0131, 0.8791], [-4.2053, -3.9977, 5.6938]],
  "species": ["Hg", "Hg", "Hg", "Hg", "Hg", "Hg", "Ag", "Li", "Li", "Li", "Li", "Li"],
  "frac_coords": [[0.8284, 0.5690, 0.6571], [0.8285, 0.0881, 0.6572], [0.5000, 0.7313, 0.0000], [0.5000, 0.2687, 0.0000], [0.1715, 0.9119, 0.3428], [0.1716, 0.4310, 0.3429], [0.0000, 0.0000, 0.0000], [0.6579, 0.1575, 0.3151], [0.3304, 0.3296, 0.6595], [0.0000, 0.5000, 0.0000], [0.6696, 0.6704, 0.3405], [0.3421, 0.8425, 0.6849]],
  "volume_a3_per_atom": 18.9,
  "total_magnetization_mub_per_fu": 0.0,
  "dft_energy_ev_per_atom": -1.500
}